1.
BeV2P PBE optimized geometry; M_tot = 0.0 μB/f.u.; space group = I-42d; energy relative to the lowest polymorph listed for this composition = 1.5165 eV/atom; E = -47.60 eV per cell; density = 3509 kg/m³
1.0
4.804 0.000 0.000
0.000 4.804 0.000
2.402 2.402 5.819
P V Be
2 4 2
Direct
0.000 0.000 0.000
0.750 0.250 0.500
0.592 0.125 0.250
0.158 0.625 0.250
0.375 0.408 0.750
0.875 0.842 0.750
0.500 0.500 0.000
0.250 0.750 0.500

=====

2.
TaTlCoBr2 PBE optimized geometry; M_tot = 2.4 μB/f.u.; space group = P4/mmm; E = -20.38 eV per cell; uncorrected formation energy = 0.86 eV/atom; density = 6809 kg/m³
1.0
-1.526 1.347 -4.546
-5.439 1.053 2.137
1.291 4.713 0.963
Tl Co Br Ta
1 1 2 1
Direct
0.000 0.500 0.000
0.500 0.500 0.500
0.000 0.000 0.500
0.500 0.000 0.000
0.000 0.000 0.000

=====

3.
AlNi2W PBE optimized geometry; M_tot = 0.0 μB/f.u.; space group = Pm; E = -29.11 eV per cell; density = 10508 kg/m³
1.0
4.076 0.000 0.000
0.000 2.642 0.018
0.000 1.310 4.825
Ni Al W
2 1 1
Direct
0.000 0.206 0.967
0.500 0.052 0.271
0.500 0.784 0.808
0.000 0.458 0.453

=====

4.
LaLuAl4 PBE optimized geometry; M_tot = 0.0 μB/f.u.; space group = F-43m; E = -27.16 eV per cell; density = 5542 kg/m³
1.0
5.633 0.000 0.000
2.817 4.878 0.000
2.817 1.626 4.599
La Lu Al
1 1 4
Direct
0.250 0.250 0.250
0.000 0.000 0.000
0.625 0.625 0.125
0.625 0.125 0.625
0.125 0.625 0.625
0.625 0.625 0.625

=====

5.
AcLuZnOs PBE optimized geometry; M_tot = 0.0 μB/f.u.; space group = F-43m; E = -21.34 eV per cell; density = 11718 kg/m³
1.0
-3.287 2.006 3.327
-5.006 -0.585 -0.702
-2.665 -3.039 3.091
Ac Lu Os Zn
1 1 1 1
Direct
0.250 0.250 0.250
0.750 0.750 0.750
0.500 0.500 0.500
0.000 0.000 0.000

=====

6.
MnCdSi2 PBE optimized geometry; M_tot = 2.6 μB/f.u.; space group = P4mm; E = -19.81 eV per cell; uncorrected formation energy = 0.28 eV/atom; density = 5960 kg/m³
1.0
2.780 0.000 0.000
0.000 2.780 0.000
0.000 0.000 8.059
Cd Mn Si
1 1 2
Direct
0.000 0.000 0.520
0.500 0.500 0.789
0.000 0.000 0.979
0.500 0.500 0.212